Material: MnSn3Sb
Method: DFT, PBE
State: optimized geometry

abc: 5.145 5.145 5.145
angles: 90.00 90.00 90.00
Fractional coordinates of all 5 atoms:
1 Mn 0.000 0.000 0.000
2 Sn 0.000 0.000 0.500
3 Sn 0.000 0.500 0.000
4 Sn 0.500 0.000 0.000
5 Sb 0.500 0.500 0.500

Summary:
* space group: Pm-3m
* formation energy without anion corrections: 0.3221 eV per atom
* E above lowest polymorph: 0 meV/atom
* ρ: 6.5 Mg/m³
* M_tot: 0.000 Bohr magnetons per cell

---

Material: MnSnSb
Method: DFT, PBE
State: optimized geometry

abc: 4.632 4.632 4.632
angles: 60.00 60.00 60.00
Fractional coordinates of all 3 atoms:
1 Mn 0.000 0.000 0.000
2 Sn 0.250 0.250 0.250
3 Sb 0.750 0.750 0.750

Summary:
* space group: F-43m
* formation energy without anion corrections: 0.1523 eV per atom
* ρ: 7.0 Mg/m³
* M_tot: 3.062 Bohr magnetons per cell

---

Material: MnSn2Sb
Method: DFT, PBE
State: optimized geometry

abc: 7.929 7.929 7.929
angles: 132.01 132.01 70.22
Fractional coordinates of all 8 atoms:
1 Mn 0.000 0.000 0.000
2 Mn 0.750 0.250 0.500
3 Sn 0.097 0.625 0.972
4 Sn 0.375 0.347 0.472
5 Sn 0.653 0.125 0.028
6 Sn 0.875 0.903 0.528
7 Sb 0.250 0.750 0.500
8 Sb 0.500 0.500 0.000

Summary:
* space group: I-42d
* formation energy without anion corrections: 0.3805 eV per atom
* ρ: 5.1 Mg/m³
* M_tot: 7.902 Bohr magnetons per cell